Here is a geometry-optimized Ce6Co2N structure from the Alexandria database. Energies are from PBE.

Output
Energy in eV per atom: -6.87
Fermi-level density of states in states/eV/atom: 2.113
Total magnetic moment in μB/cell: 0.00

Cell lengths 6.201, 6.740, 11.275 Å; angles 90.00, 122.88, 90.00 degrees
Space group P2_1/c (No. 14)
One atom of each set of equivalent atoms:
Ce (0.091, 0.144, 0.443) (multiplicity 4)
Ce (0.315, 0.660, 0.443) (multiplicity 4)
Ce (0.370, 0.058, 0.253) (multiplicity 4)
Co (0.189, 0.137, 0.745) (multiplicity 4)
N (0.500, 0.000, 0.500) (multiplicity 2)